Entry 1:
This record from Alexandria describes a relaxed PmPrTmPu crystal. The functional is PBE.

The formation energy is 213 meV per atom. The polymorph energy (0 for the lowest one) comes out at 0 meV/atom.

The space group is F-43m (No. 216) and the conventional cell measures 8.020, 8.020 and 8.020 Å, with angles of 90.00, 90.00 and 90.00 degrees. The inequivalent atoms are Pm at (0.000, 0.000, 0.000), Pr at (0.000, 0.000, 0.500), Tm at (0.250, 0.250, 0.250) and Pu at (0.250, 0.250, 0.750).

Entry 2:
This record from Alexandria describes a relaxed Pm3Pr2Y6Pu crystal. The functional is PBE.

The formation energy is 45 meV per atom.

The space group is C2/m (No. 12) and the conventional cell measures 6.251, 10.834 and 11.840 Å, with angles of 90.00, 100.16 and 90.00 degrees. The inequivalent atoms are Pm at (0.000, 0.000, 0.000), Pm at (0.000, 0.333, 0.000), Pr at (0.000, 0.167, 0.500), Y at (0.246, 0.500, 0.251), Y at (0.247, 0.336, 0.749) and Pu at (0.000, 0.500, 0.500).

Entry 3:
This record from Alexandria describes a relaxed PmPrYPu crystal. The functional is PBE.

The formation energy is 230 meV per atom.

The space group is F-43m (No. 216) and the conventional cell measures 8.077, 8.077 and 8.077 Å, with angles of 90.00, 90.00 and 90.00 degrees. The inequivalent atoms are Pm at (0.000, 0.000, 0.000), Pr at (0.250, 0.250, 0.250), Y at (0.250, 0.250, 0.750) and Pu at (0.000, 0.000, 0.500).

Entry 4:
This record from Alexandria describes a relaxed RbPm2Pr crystal. The functional is PBE.

The formation energy is 258 meV per atom.

The space group is R-3m (No. 166, hexagonal axes) and the conventional cell measures 3.7234, 3.7234 and 40.8793 Å, with angles of 90.00, 90.00 and 120.00 degrees. The inequivalent atoms are Rb at (0.0000, 0.0000, 0.0000), Pm at (0.0000, 0.0000, 0.0950) and Pr at (0.0000, 0.0000, 0.5000).

Entry 5:
This record from Alexandria describes a relaxed Rb3Pm2PrS6 crystal. The functional is PBE.

As for the final energy: -5.324 eV per atom.

The space group is C2/m (No. 12) and the conventional cell measures 7.301, 12.646 and 8.093 Å, with angles of 90.00, 107.50 and 90.00 degrees. The inequivalent atoms are Rb at (0.000, 0.000, 0.000), Rb at (0.000, 0.334, 0.000), Pm at (0.000, 0.167, 0.500), Pr at (0.000, 0.500, 0.500), S at (0.229, 0.000, 0.697) and S at (0.234, 0.332, 0.697).

Entry 6:
This record from Alexandria describes a relaxed RbPm4PrS8 crystal. The functional is PBE.

As for the final energy: -6.014 eV per atom.

The space group is R3m (No. 160, hexagonal axes) and the conventional cell measures 8.4788, 8.4788 and 20.9677 Å, with angles of 90.00, 90.00 and 120.00 degrees. The inequivalent atoms are Rb at (0.0000, 0.0000, 0.0000), Pm at (0.0000, 0.0000, 0.2520), Pm at (0.1720, 0.3440, 0.4587), Pr at (0.0000, 0.0000, 0.6310), S at (0.0000, 0.0000, 0.3838), S at (0.0000, 0.0000, 0.8578), S at (0.0466, 0.5233, 0.3844) and S at (0.1754, 0.3508, 0.2072).

Entry 7:
This record from Alexandria describes a relaxed Rb2PmPrSe4 crystal. The functional is PBE.

As for the final energy: -4.911 eV per atom.

The space group is P2/m (No. 10) and the conventional cell measures 7.585, 4.379 and 8.414 Å, with angles of 90.00, 107.48 and 90.00 degrees. The inequivalent atoms are Rb at (0.000, 0.000, 0.000), Rb at (0.500, 0.500, 0.000), Pm at (0.000, 0.500, 0.500), Pr at (0.500, 0.000, 0.500), Se at (0.230, 0.000, 0.700) and Se at (0.263, 0.500, 0.298).

Entry 8:
This record from Alexandria describes a relaxed RbPm4PrSe8 crystal. The functional is PBE.

As for the final energy: -5.493 eV per atom.

The space group is R3m (No. 160, hexagonal axes) and the conventional cell measures 8.8338, 8.8338 and 21.8562 Å, with angles of 90.00, 90.00 and 120.00 degrees. The inequivalent atoms are Rb at (0.0000, 0.0000, 0.0000), Pm at (0.0000, 0.0000, 0.2524), Pm at (0.1723, 0.3445, 0.4589), Pr at (0.0000, 0.0000, 0.6316), Se at (0.0000, 0.0000, 0.3842), Se at (0.0000, 0.0000, 0.8591), Se at (0.0433, 0.5217, 0.3842) and Se at (0.1756, 0.3512, 0.2074).